Below is Dy6ZnPd2 after structural relaxation, with properties calculated at the GGA-PBE level.

Cell: 8.469 8.469 8.469 Å, 112.26 110.64 105.59°
Fractional coordinates of all 18 atoms:
Dy 0.051 0.241 0.810
Dy 0.178 0.281 0.459
Dy 0.178 0.719 0.897
Dy 0.329 0.031 0.702
Dy 0.329 0.627 0.298
Dy 0.431 0.241 0.190
Dy 0.569 0.759 0.810
Dy 0.671 0.373 0.702
Dy 0.671 0.969 0.298
Dy 0.822 0.281 0.103
Dy 0.822 0.719 0.541
Dy 0.949 0.759 0.190
Zn 0.000 0.000 0.000
Zn 0.500 0.500 0.000
Pd 0.133 0.633 0.500
Pd 0.341 0.000 0.341
Pd 0.659 0.000 0.659
Pd 0.867 0.367 0.500

Properties
ΔH_f (0 K) in eV/atom: -0.480